# 1
Li5Ag3Sb4 | PBE | optimized geometry

```
Li5Ag3Sb4
1.0
5.9097 0.0000 0.0000
2.5067 6.0996 0.0000
2.7522 1.0981 6.7425
Li Ag Sb
5 3 4
Cartesian
0.0000 0.0000 0.0000 Li
4.1635 2.8246 4.4982 Li
2.7422 2.9397 0.0019 Li
8.4264 4.2580 6.7406 Li
7.0051 4.3731 2.2443 Li
1.3865 1.5031 2.0645 Ag
2.9549 0.0000 0.0000 Ag
9.7821 5.6946 4.6780 Ag
4.0231 4.5310 1.9788 Sb
6.7730 5.7603 4.6743 Sb
4.3956 1.4373 2.0682 Sb
7.1455 2.6667 4.7637 Sb
```

Computed properties:
The calculation puts the raw formation energy at -253 meV/atom. The volume comes out at 20.3 Å³/atom.



# 2
LiZrGaCo2 | PBE | optimized geometry

```
LiZrGaCo2
1.0
4.3904 0.0000 0.0000
0.0000 4.3904 0.0000
0.0000 0.0000 4.0958
Li Zr Ga Co
1 1 1 2
Cartesian
0.0000 0.0000 0.0000 Li
2.1952 2.1952 0.0000 Zr
0.0000 0.0000 2.0479 Ga
0.0000 2.1952 2.0479 Co
2.1952 0.0000 2.0479 Co
```

Computed properties:
The energy of formation comes out at 370 meV/atom. The volume comes out at 15.8 Å³/atom.



# 3
SrV2PtRh | PBE | optimized geometry

```
SrV2PtRh
1.0
4.6093 0.0000 0.0000
0.0000 4.6093 0.0000
0.0000 0.0000 4.6950
Sr V Pt Rh
1 2 1 1
Cartesian
0.0000 0.0000 0.0000 Sr
0.0000 2.3046 0.0000 V
2.3046 0.0000 0.0000 V
2.3046 2.3046 2.3475 Pt
0.0000 0.0000 2.3475 Rh
```

Computed properties:
The energy of formation comes out at 2241 meV/atom. The volume comes out at 19.9 Å³/atom.



# 4
Ho2SbPb | PBE | optimized geometry

```
Ho2SbPb
1.0
2.2315 -11.9895 0.0000
2.2315 11.9895 0.0000
0.0000 0.0000 4.3714
Ho Sb Pb
4 2 2
Cartesian
2.2315 10.4937 3.2785 Ho
2.2315 4.4644 3.2785 Ho
2.2315 -4.4644 1.0928 Ho
2.2315 -10.4937 1.0928 Ho
2.2315 7.4985 3.2785 Sb
2.2315 -7.4985 1.0928 Sb
2.2315 1.2083 3.2785 Pb
2.2315 -1.2083 1.0928 Pb
```

Computed properties:
The calculation puts the raw formation energy at -784 meV/atom. Its polymorph energy (0 for the lowest one) is 0 meV per atom. The volume comes out at 29.2 Å³/atom.